[1]
Below is a relaxed La3Pm2Dy7 crystal, with properties calculated at the GGA-PBE level.

Computed properties:
Calculated formation energy ... 0.1171 eV/atom

Cell: 19.506 19.506 3.627 Å, 90.00 90.00 162.88°
Atoms (fractional coordinates):
La  0.000  0.000  0.000
La  0.315  0.685  0.500
La  0.685  0.315  0.500
Pm  0.146  0.854  0.000
Pm  0.854  0.146  0.000
Dy  0.072  0.928  0.500
Dy  0.230  0.770  0.000
Dy  0.412  0.588  0.000
Dy  0.500  0.500  0.500
Dy  0.588  0.412  0.000
Dy  0.770  0.230  0.000
Dy  0.928  0.072  0.500

***

[2]
Below is a relaxed Pu4Pt4Au crystal, with properties calculated at the GGA-PBE level.

Computed properties:
Calculated formation energy ... -0.5422 eV/atom

Cell: 8.349 8.349 5.583 Å, 90.00 90.00 90.00°
Atoms (fractional coordinates):
Pu  0.072  0.820  0.114
Pu  0.180  0.572  0.614
Pu  0.320  0.928  0.614
Pu  0.428  0.680  0.114
Pu  0.572  0.320  0.886
Pu  0.680  0.072  0.386
Pu  0.820  0.428  0.386
Pu  0.928  0.180  0.886
Pt  0.044  0.146  0.366
Pt  0.146  0.456  0.134
Pt  0.354  0.044  0.134
Pt  0.456  0.354  0.366
Pt  0.544  0.646  0.634
Pt  0.646  0.956  0.866
Pt  0.854  0.544  0.866
Pt  0.956  0.854  0.634
Au  0.250  0.250  0.750
Au  0.750  0.750  0.250

***

[3]
Below is a relaxed NaTh2Ga crystal, with properties calculated at the GGA-PBE level.

Computed properties:
Calculated formation energy ... 0.1237 eV/atom

Cell: 12.338 12.338 12.338 Å, 15.86 15.86 15.86°
Atoms (fractional coordinates):
Na  0.000  0.000  0.000
Th  0.099  0.099  0.099
Th  0.901  0.901  0.901
Ga  0.500  0.500  0.500